No. 1
{"formula": "Ho2CuC", "functional": "GGA-PBE", "state": "optimized geometry", "vol_a3_per_atom": 19.5, "energy_ev_per_atom": -5.8022, "formation_enthalpy_0k_kj_per_mol_atoms": -18, "spacegroup": "R-3m (166)", "m_tot_mub_per_fu": 0.3, "lattice": [[-0.433, -3.582, -0.451], [2.527, -2.306, 1.232], [-2.539, -2.323, 6.223]], "species": ["Ho", "Ho", "Cu", "C"], "fractional_positions": [[0.232, 0.232, 0.305], [0.768, 0.768, 0.695], [0.000, 0.000, 0.000], [0.500, 0.500, 0.500]]}

No. 2
{"formula": "HoMnCuC", "functional": "GGA-PBE", "state": "optimized geometry", "vol_a3_per_atom": 14.0, "energy_ev_per_atom": -6.9084, "formation_enthalpy_0k_kj_per_mol_atoms": -14, "spacegroup": "P4/nmm (129)", "m_tot_mub_per_fu": 1.0, "lattice": [[-0.689, 3.242, 0.474], [-2.087, -0.061, -2.617], [-7.517, -2.484, 6.053]], "species": ["Mn", "Mn", "C", "C", "Ho", "Ho", "Cu", "Cu"], "fractional_positions": [[0.750, 0.250, 0.000], [0.250, 0.750, 0.000], [0.250, 0.250, 0.118], [0.750, 0.750, 0.882], [0.750, 0.750, 0.246], [0.250, 0.250, 0.754], [0.750, 0.250, 0.500], [0.250, 0.750, 0.500]]}

No. 3
{"formula": "HoCuCO4", "functional": "GGA-PBE", "state": "optimized geometry", "e_form_raw_ev_per_atom": -1.66, "vol_a3_per_atom": 10.7, "energy_ev_per_atom": -7.0475, "spacegroup": "Imma (74)", "m_tot_mub_per_fu": 0.0, "lattice": [[-5.123, 1.362, -0.623], [-3.725, -1.560, 4.359], [-1.649, 5.266, 2.205]], "species": ["O", "O", "O", "O", "O", "O", "O", "O", "C", "C", "Ho", "Ho", "Cu", "Cu"], "fractional_positions": [[0.703, 0.701, 0.892], [0.727, 0.759, 0.259], [0.256, 0.759, 0.259], [0.297, 0.299, 0.108], [0.297, 0.608, 0.799], [0.744, 0.241, 0.741], [0.703, 0.392, 0.201], [0.273, 0.241, 0.741], [0.380, 0.370, 0.870], [0.620, 0.630, 0.130], [0.000, 0.500, 0.500], [0.000, 0.000, 0.000], [0.500, 0.000, 0.500], [0.000, 0.000, 0.500]]}

Which formula does entry 3 have? HoCuCO4